1.
Material: Tm5Si2Bi2
Method: DFT, PBE
State: relaxed

Computed properties:
Mass density, Mg/m³: 9.41
Spin magnetization, μB/atom: 0.00
Formation energy without anion corrections, eV per atom: -0.77

POSCAR file:
```
Tm5Si2Bi2
1.0
7.836 0.000 0.000
0.000 6.953 -3.574
0.000 -0.003 8.544
Bi Tm Si
4 10 4
direct
0.500 0.293 0.585 Bi
0.000 0.793 0.585 Bi
0.000 0.207 0.415 Bi
0.500 0.707 0.415 Bi
0.163 0.458 0.242 Tm
0.837 0.784 0.242 Tm
0.837 0.542 0.758 Tm
0.337 0.958 0.242 Tm
0.663 0.284 0.242 Tm
0.500 0.500 0.000 Tm
0.337 0.716 0.758 Tm
0.000 0.000 0.000 Tm
0.163 0.216 0.758 Tm
0.663 0.042 0.758 Tm
0.636 0.863 0.000 Si
0.364 0.137 0.000 Si
0.864 0.363 0.000 Si
0.136 0.637 0.000 Si
```


2.
Material: Tm12SiBi6
Method: DFT, PBE
State: relaxed

Computed properties:
Mass density, Mg/m³: 9.26
Spin magnetization, μB/atom: 0.00
Formation energy without anion corrections, eV per atom: -0.40

POSCAR file:
```
Tm12SiBi6
1.0
8.524 -0.024 -0.029
-1.316 8.422 -0.029
-1.316 -1.533 8.281
Bi Tm Si
6 12 1
direct
0.312 0.117 0.657 Bi
0.343 0.688 0.883 Bi
0.117 0.657 0.312 Bi
0.883 0.343 0.688 Bi
0.688 0.883 0.343 Bi
0.657 0.312 0.117 Bi
0.321 0.072 0.007 Tm
0.007 0.321 0.072 Tm
0.072 0.007 0.321 Tm
0.460 0.797 0.582 Tm
0.582 0.460 0.797 Tm
0.540 0.203 0.418 Tm
0.928 0.993 0.679 Tm
0.203 0.418 0.540 Tm
0.679 0.928 0.993 Tm
0.797 0.582 0.460 Tm
0.993 0.679 0.928 Tm
0.418 0.540 0.203 Tm
0.000 0.000 0.000 Si
```


3.
Material: Tm5Si2Bi
Method: DFT, PBE
State: relaxed

Computed properties:
Mass density, Mg/m³: 9.17
Spin magnetization, μB/atom: 0.00
Formation energy without anion corrections, eV per atom: -0.66

POSCAR file:
```
Tm5Si2Bi
1.0
7.051 0.000 -3.329
-1.571 6.874 -3.329
-0.253 -0.317 8.598
Tm Bi Si
10 2 4
direct
0.500 0.500 0.000 Tm
0.000 0.000 0.000 Tm
0.790 0.986 0.277 Tm
0.514 0.710 0.723 Tm
0.210 0.014 0.723 Tm
0.710 0.210 0.723 Tm
0.014 0.514 0.723 Tm
0.290 0.790 0.277 Tm
0.986 0.486 0.277 Tm
0.486 0.290 0.277 Tm
0.250 0.250 0.500 Bi
0.750 0.750 0.500 Bi
0.850 0.650 0.000 Si
0.150 0.350 0.000 Si
0.650 0.150 0.000 Si
0.350 0.850 0.000 Si
```


4.
Material: Tm6SiBi3
Method: DFT, PBE
State: relaxed

Computed properties:
Mass density, Mg/m³: 9.47
Spin magnetization, μB/atom: 0.00
Formation energy without anion corrections, eV per atom: -0.53

POSCAR file:
```
Tm6SiBi3
1.0
-4.351 0.571 5.450
-4.626 -6.127 -3.052
5.482 -6.732 5.206
Bi Tm Si
6 12 2
direct
0.930 0.378 0.755 Bi
0.500 0.500 0.000 Bi
0.570 0.878 0.745 Bi
0.430 0.122 0.255 Bi
0.000 0.000 0.500 Bi
0.070 0.622 0.245 Bi
0.866 0.694 0.942 Tm
0.159 0.339 0.446 Tm
0.634 0.194 0.558 Tm
0.810 0.937 0.237 Tm
0.659 0.161 0.946 Tm
0.310 0.563 0.737 Tm
0.690 0.437 0.263 Tm
0.841 0.661 0.554 Tm
0.341 0.839 0.054 Tm
0.190 0.063 0.763 Tm
0.134 0.306 0.058 Tm
0.366 0.806 0.442 Tm
0.000 0.000 0.000 Si
0.500 0.500 0.500 Si
```


5.
Material: Tm7Si5Bi
Method: DFT, PBE
State: relaxed

Computed properties:
Mass density, Mg/m³: 8.47
Spin magnetization, μB/atom: 0.00
Formation energy without anion corrections, eV per atom: -0.45

POSCAR file:
```
Tm7Si5Bi
1.0
-2.522 -5.051 -1.144
1.724 -2.523 -7.160
4.262 -5.992 2.557
Bi Si Tm
1 5 7
direct
0.950 0.050 0.050 Bi
0.767 0.733 0.733 Si
0.046 0.991 0.482 Si
0.481 0.991 0.482 Si
0.481 0.482 0.991 Si
0.046 0.482 0.991 Si
0.629 0.371 0.371 Tm
0.995 0.335 0.674 Tm
0.995 0.674 0.335 Tm
0.259 0.741 0.741 Tm
0.538 0.130 0.794 Tm
0.538 0.794 0.130 Tm
0.275 0.225 0.225 Tm
```


6.
Material: USiBi
Method: DFT, PBE
State: relaxed

Computed properties:
Mass density, Mg/m³: 10.92
Spin magnetization, μB/atom: 0.89
Formation energy without anion corrections, eV per atom: -0.06

POSCAR file:
```
USiBi
1.0
4.059 0.000 0.000
0.000 4.535 0.000
0.000 2.268 7.847
Bi Si U
2 2 2
direct
0.250 0.254 0.492 Bi
0.750 0.746 0.508 Bi
0.250 0.546 0.908 Si
0.750 0.454 0.092 Si
0.750 0.084 0.833 U
0.250 0.916 0.167 U
```